Record 1
Below is an optimized crystal structure of InAg2Bi, with properties calculated at the GGA-PBE level.

* SG: P4/mmm (123)
* density of states at the Fermi level: 1.794 states/eV/cell

CIF file:
```
data_InAg2Bi
_cell_length_a 4.324
_cell_length_b 4.635
_cell_length_c 4.635
_cell_angle_alpha 90.00
_cell_angle_beta 90.00
_cell_angle_gamma 90.00
_symmetry_space_group_name_H-M 'P 1'
_symmetry_Int_Tables_number 1
loop_
_symmetry_equiv_pos_as_xyz
'x,y,z'
loop_
_atom_site_label
_atom_site_type_symbol
_atom_site_fract_x
_atom_site_fract_y
_atom_site_fract_z
Ag1 Ag 0.000 0.000 0.500
Ag2 Ag 0.000 0.500 0.000
In1 In 0.500 0.000 0.000
Bi1 Bi 0.500 0.500 0.500
```



Record 2
Below is an optimized crystal structure of In2AgBi, with properties calculated at the GGA-PBE level.

* SG: R-3m (166)
* density of states at the Fermi level: 1.692 states/eV/cell

CIF file:
```
data_In2AgBi
_cell_length_a 3.302
_cell_length_b 3.302
_cell_length_c 11.881
_cell_angle_alpha 82.01
_cell_angle_beta 82.01
_cell_angle_gamma 60.00
_symmetry_space_group_name_H-M 'P 1'
_symmetry_Int_Tables_number 1
loop_
_symmetry_equiv_pos_as_xyz
'x,y,z'
loop_
_atom_site_label
_atom_site_type_symbol
_atom_site_fract_x
_atom_site_fract_y
_atom_site_fract_z
Bi1 Bi 0.500 0.500 0.500
In1 In 0.919 0.919 0.243
In2 In 0.081 0.081 0.757
Ag1 Ag 0.000 0.000 0.000
```



Record 3
Below is an optimized crystal structure of In2Ag9Bi, with properties calculated at the GGA-PBE level.

* SG: P4/mmm (123)
* density of states at the Fermi level: 3.033 states/eV/cell

CIF file:
```
data_In2Ag9Bi
_cell_length_a 4.313
_cell_length_b 4.313
_cell_length_c 12.685
_cell_angle_alpha 90.00
_cell_angle_beta 90.00
_cell_angle_gamma 90.00
_symmetry_space_group_name_H-M 'P 1'
_symmetry_Int_Tables_number 1
loop_
_symmetry_equiv_pos_as_xyz
'x,y,z'
loop_
_atom_site_label
_atom_site_type_symbol
_atom_site_fract_x
_atom_site_fract_y
_atom_site_fract_z
Ag1 Ag 0.500 0.000 0.500
Ag2 Ag 0.500 0.000 0.823
Ag3 Ag 0.500 0.000 0.177
Ag4 Ag 0.500 0.500 0.340
Ag5 Ag 0.000 0.500 0.177
Ag6 Ag 0.500 0.500 0.660
Ag7 Ag 0.000 0.500 0.823
Ag8 Ag 0.000 0.500 0.500
Ag9 Ag 0.500 0.500 0.000
In1 In 0.000 0.000 0.336
In2 In 0.000 0.000 0.664
Bi1 Bi 0.000 0.000 0.000
```



Record 4
Below is an optimized crystal structure of InAgBi2, with properties calculated at the GGA-PBE level.

* SG: P4/mmm (123)
* density of states at the Fermi level: 2.841 states/eV/cell

CIF file:
```
data_InAgBi2
_cell_length_a 4.701
_cell_length_b 4.845
_cell_length_c 4.845
_cell_angle_alpha 90.00
_cell_angle_beta 90.00
_cell_angle_gamma 90.00
_symmetry_space_group_name_H-M 'P 1'
_symmetry_Int_Tables_number 1
loop_
_symmetry_equiv_pos_as_xyz
'x,y,z'
loop_
_atom_site_label
_atom_site_type_symbol
_atom_site_fract_x
_atom_site_fract_y
_atom_site_fract_z
Ag1 Ag 0.500 0.000 0.000
In1 In 0.500 0.500 0.500
Bi1 Bi 0.000 0.000 0.500
Bi2 Bi 0.000 0.500 0.000
```



Record 5
Below is an optimized crystal structure of In2AgBi, with properties calculated at the GGA-PBE level.

* SG: R3m (160)
* density of states at the Fermi level: 1.444 states/eV/cell

CIF file:
```
data_In2AgBi
_cell_length_a 4.662
_cell_length_b 4.662
_cell_length_c 6.498
_cell_angle_alpha 68.98
_cell_angle_beta 68.98
_cell_angle_gamma 60.00
_symmetry_space_group_name_H-M 'P 1'
_symmetry_Int_Tables_number 1
loop_
_symmetry_equiv_pos_as_xyz
'x,y,z'
loop_
_atom_site_label
_atom_site_type_symbol
_atom_site_fract_x
_atom_site_fract_y
_atom_site_fract_z
Bi1 Bi 0.498 0.498 0.505
Ag1 Ag 0.670 0.670 0.990
In1 In 0.066 0.066 0.802
In2 In 0.266 0.266 0.203
```



Record 6
Below is an optimized crystal structure of InAgBi2, with properties calculated at the GGA-PBE level.

* SG: R3m (160)
* density of states at the Fermi level: 1.476 states/eV/cell

CIF file:
```
data_InAgBi2
_cell_length_a 4.902
_cell_length_b 4.902
_cell_length_c 6.412
_cell_angle_alpha 67.52
_cell_angle_beta 67.52
_cell_angle_gamma 60.00
_symmetry_space_group_name_H-M 'P 1'
_symmetry_Int_Tables_number 1
loop_
_symmetry_equiv_pos_as_xyz
'x,y,z'
loop_
_atom_site_label
_atom_site_type_symbol
_atom_site_fract_x
_atom_site_fract_y
_atom_site_fract_z
Bi1 Bi 0.071 0.071 0.787
Bi2 Bi 0.266 0.266 0.203
Ag1 Ag 0.668 0.668 0.996
In1 In 0.496 0.496 0.513
```



Record 7
Below is an optimized crystal structure of In2AgBi, with properties calculated at the GGA-PBE level.

* SG: P4/mmm (123)
* density of states at the Fermi level: 2.387 states/eV/cell

CIF file:
```
data_In2AgBi
_cell_length_a 3.690
_cell_length_b 3.690
_cell_length_c 7.516
_cell_angle_alpha 90.00
_cell_angle_beta 90.00
_cell_angle_gamma 90.00
_symmetry_space_group_name_H-M 'P 1'
_symmetry_Int_Tables_number 1
loop_
_symmetry_equiv_pos_as_xyz
'x,y,z'
loop_
_atom_site_label
_atom_site_type_symbol
_atom_site_fract_x
_atom_site_fract_y
_atom_site_fract_z
Bi1 Bi 0.500 0.500 0.500
Ag1 Ag 0.500 0.500 0.000
In1 In 0.000 0.000 0.216
In2 In 0.000 0.000 0.784
```



Record 8
Below is an optimized crystal structure of InAgBi3, with properties calculated at the GGA-PBE level.

* SG: Pm-3m (221)
* offset from the most stable computed form: 0.0 meV per atom
* density of states at the Fermi level: 4.167 states/eV/cell

CIF file:
```
data_InAgBi3
_cell_length_a 5.602
_cell_length_b 5.602
_cell_length_c 5.602
_cell_angle_alpha 90.00
_cell_angle_beta 90.00
_cell_angle_gamma 90.00
_symmetry_space_group_name_H-M 'P 1'
_symmetry_Int_Tables_number 1
loop_
_symmetry_equiv_pos_as_xyz
'x,y,z'
loop_
_atom_site_label
_atom_site_type_symbol
_atom_site_fract_x
_atom_site_fract_y
_atom_site_fract_z
Bi1 Bi 0.000 0.000 0.500
Bi2 Bi 0.000 0.500 0.000
Bi3 Bi 0.500 0.000 0.000
In1 In 0.500 0.500 0.500
Ag1 Ag 0.000 0.000 0.000
```



Record 9
Below is an optimized crystal structure of InAgBi2, with properties calculated at the GGA-PBE level.

* SG: R-3m (166)
* density of states at the Fermi level: 2.046 states/eV/cell

CIF file:
```
data_InAgBi2
_cell_length_a 3.431
_cell_length_b 3.431
_cell_length_c 11.678
_cell_angle_alpha 81.55
_cell_angle_beta 81.55
_cell_angle_gamma 60.00
_symmetry_space_group_name_H-M 'P 1'
_symmetry_Int_Tables_number 1
loop_
_symmetry_equiv_pos_as_xyz
'x,y,z'
loop_
_atom_site_label
_atom_site_type_symbol
_atom_site_fract_x
_atom_site_fract_y
_atom_site_fract_z
Bi1 Bi 0.083 0.083 0.752
Bi2 Bi 0.917 0.917 0.248
In1 In 0.500 0.500 0.500
Ag1 Ag 0.000 0.000 0.000
```



Record 10
Below is an optimized crystal structure of In12Ag3Bi5, with properties calculated at the GGA-PBE level.

* SG: Ia-3d (230)
* density of states at the Fermi level: 37.006 states/eV/cell

CIF file:
```
data_In12Ag3Bi5
_cell_length_a 15.024
_cell_length_b 15.024
_cell_length_c 15.024
_cell_angle_alpha 109.47
_cell_angle_beta 109.47
_cell_angle_gamma 109.47
_symmetry_space_group_name_H-M 'P 1'
_symmetry_Int_Tables_number 1
loop_
_symmetry_equiv_pos_as_xyz
'x,y,z'
loop_
_atom_site_label
_atom_site_type_symbol
_atom_site_fract_x
_atom_site_fract_y
_atom_site_fract_z
In1 In 0.073 0.633 0.744
In2 In 0.111 0.171 0.244
In3 In 0.389 0.133 0.560
In4 In 0.440 0.367 0.611
In5 In 0.244 0.573 0.633
In6 In 0.560 0.633 0.389
In7 In 0.367 0.440 0.111
In8 In 0.060 0.889 0.133
In9 In 0.573 0.244 0.133
In10 In 0.889 0.829 0.756
In11 In 0.940 0.111 0.867
In12 In 0.111 0.940 0.367
In13 In 0.256 0.867 0.927
In14 In 0.829 0.940 0.073
In15 In 0.440 0.073 0.329
In16 In 0.756 0.427 0.367
In17 In 0.560 0.927 0.671
In18 In 0.329 0.573 0.440
In19 In 0.744 0.133 0.073
In20 In 0.671 0.427 0.560
In21 In 0.633 0.560 0.889
In22 In 0.744 0.611 0.171
In23 In 0.256 0.389 0.829
In24 In 0.133 0.744 0.573
In25 In 0.611 0.867 0.440
In26 In 0.244 0.671 0.111
In27 In 0.171 0.111 0.744
In28 In 0.756 0.329 0.889
In29 In 0.611 0.744 0.671
In30 In 0.389 0.256 0.329
In31 In 0.671 0.244 0.611
In32 In 0.171 0.060 0.927
In33 In 0.633 0.073 0.244
In34 In 0.060 0.171 0.427
In35 In 0.867 0.256 0.427
In36 In 0.927 0.560 0.171
In37 In 0.133 0.389 0.060
In38 In 0.329 0.756 0.389
In39 In 0.889 0.060 0.633
In40 In 0.427 0.671 0.060
In41 In 0.573 0.329 0.940
In42 In 0.367 0.927 0.756
In43 In 0.867 0.611 0.940
In44 In 0.829 0.889 0.256
In45 In 0.427 0.756 0.867
In46 In 0.927 0.367 0.256
In47 In 0.073 0.440 0.829
In48 In 0.940 0.829 0.573
Ag1 Ag 0.125 0.250 0.875
Ag2 Ag 0.625 0.375 0.750
Ag3 Ag 0.875 0.125 0.250
Ag4 Ag 0.250 0.125 0.375
Ag5 Ag 0.875 0.750 0.125
Ag6 Ag 0.375 0.750 0.625
Ag7 Ag 0.250 0.625 0.875
Ag8 Ag 0.125 0.875 0.750
Ag9 Ag 0.625 0.250 0.375
Ag10 Ag 0.375 0.625 0.250
Ag11 Ag 0.750 0.375 0.125
Ag12 Ag 0.750 0.875 0.625
Bi1 Bi 0.000 0.500 0.000
Bi2 Bi 0.250 0.375 0.625
Bi3 Bi 0.125 0.375 0.250
Bi4 Bi 0.375 0.125 0.750
Bi5 Bi 0.500 0.000 0.000
Bi6 Bi 0.000 0.000 0.000
Bi7 Bi 0.875 0.250 0.625
Bi8 Bi 0.625 0.875 0.250
Bi9 Bi 0.625 0.750 0.875
Bi10 Bi 0.125 0.750 0.375
Bi11 Bi 0.875 0.625 0.750
Bi12 Bi 0.250 0.875 0.125
Bi13 Bi 0.750 0.625 0.375
Bi14 Bi 0.500 0.500 0.500
Bi15 Bi 0.375 0.250 0.125
Bi16 Bi 0.500 0.500 0.000
Bi17 Bi 0.000 0.500 0.500
Bi18 Bi 0.750 0.125 0.875
Bi19 Bi 0.500 0.000 0.500
Bi20 Bi 0.000 0.000 0.500
```



Record 11
Below is an optimized crystal structure of InAgBi2, with properties calculated at the GGA-PBE level.

* SG: P4/mmm (123)
* density of states at the Fermi level: 1.301 states/eV/cell

CIF file:
```
data_InAgBi2
_cell_length_a 3.479
_cell_length_b 3.479
_cell_length_c 9.129
_cell_angle_alpha 90.00
_cell_angle_beta 90.00
_cell_angle_gamma 90.00
_symmetry_space_group_name_H-M 'P 1'
_symmetry_Int_Tables_number 1
loop_
_symmetry_equiv_pos_as_xyz
'x,y,z'
loop_
_atom_site_label
_atom_site_type_symbol
_atom_site_fract_x
_atom_site_fract_y
_atom_site_fract_z
Bi1 Bi 0.000 0.000 0.780
Bi2 Bi 0.000 0.000 0.220
In1 In 0.500 0.500 0.500
Ag1 Ag 0.500 0.500 0.000
```



Record 12
Below is an optimized crystal structure of In2AgBi2, with properties calculated at the GGA-PBE level.

* SG: I4/mmm (139)
* offset from the most stable computed form: 108.9 meV per atom
* density of states at the Fermi level: 3.082 states/eV/cell

CIF file:
```
data_In2AgBi2
_cell_length_a 4.138
_cell_length_b 4.138
_cell_length_c 9.056
_cell_angle_alpha 76.79
_cell_angle_beta 76.79
_cell_angle_gamma 90.00
_symmetry_space_group_name_H-M 'P 1'
_symmetry_Int_Tables_number 1
loop_
_symmetry_equiv_pos_as_xyz
'x,y,z'
loop_
_atom_site_label
_atom_site_type_symbol
_atom_site_fract_x
_atom_site_fract_y
_atom_site_fract_z
Bi1 Bi 0.411 0.411 0.178
Bi2 Bi 0.589 0.589 0.822
Ag1 Ag 0.000 0.000 0.000
In1 In 0.750 0.250 0.500
In2 In 0.250 0.750 0.500
```



Respective E_form values: 0.091; 0.178; 0.012; 0.143; 0.067; 0.098; 0.084; 0.482; 0.184; 0.107; 0.072; 0.233 eV/atom.
Respective total magnetization values: 0.000; 0.000; 0.000; 0.000; 0.000; 0.000; 0.000; 0.000; 0.000; 0.000; 0.000; 0.000 Bohr magnetons per cell.